A) The following is a PBE calculation of an optimized crystal structure of Ho2Sc3Pd4, from Alexandria via LeMat-Bulk.

Cell lengths 8.959, 8.959, 7.240 Å; angles 90.00, 90.00, 139.38 degrees
Positions (direct):
1 Ho 0.097 0.903 0.912
2 Ho 0.403 0.597 0.412
3 Ho 0.597 0.403 0.588
4 Ho 0.903 0.097 0.088
5 Sc 0.000 0.000 0.500
6 Sc 0.017 0.483 0.750
7 Sc 0.483 0.017 0.250
8 Sc 0.500 0.500 0.000
9 Sc 0.517 0.983 0.750
10 Sc 0.983 0.517 0.250
11 Pd 0.168 0.832 0.534
12 Pd 0.182 0.318 0.750
13 Pd 0.318 0.182 0.250
14 Pd 0.332 0.668 0.034
15 Pd 0.668 0.332 0.966
16 Pd 0.682 0.818 0.750
17 Pd 0.818 0.682 0.250
18 Pd 0.832 0.168 0.466

symmetry = Cmce

B) The following is a PBE calculation of an optimized crystal structure of Ho2Sc3Pd4, from Alexandria via LeMat-Bulk.

Cell lengths 7.262, 7.311, 7.566 Å; angles 90.00, 109.96, 90.00 degrees
Positions (direct):
1 Ho 0.193 0.174 0.074
2 Ho 0.193 0.326 0.574
3 Ho 0.807 0.674 0.426
4 Ho 0.807 0.826 0.926
5 Sc 0.247 0.660 0.249
6 Sc 0.247 0.840 0.749
7 Sc 0.500 0.000 0.500
8 Sc 0.500 0.500 0.000
9 Sc 0.753 0.160 0.251
10 Sc 0.753 0.340 0.751
11 Pd 0.087 0.545 0.859
12 Pd 0.087 0.955 0.359
13 Pd 0.497 0.637 0.629
14 Pd 0.497 0.863 0.129
15 Pd 0.503 0.137 0.871
16 Pd 0.503 0.363 0.371
17 Pd 0.913 0.045 0.641
18 Pd 0.913 0.455 0.141

symmetry = P2_1/c

Least stable structure: A)